(1)
Here is a geometry-optimized Ca2LaZn2 structure from Alexandria. Energies are from PBE-GGA.

CIF file:
```
data_Ca2LaZn2
_cell_length_a 3.7033
_cell_length_b 5.3792
_cell_length_c 14.5074
_cell_angle_alpha 90.00
_cell_angle_beta 97.39
_cell_angle_gamma 90.00
_symmetry_space_group_name_H-M 'P 1'
_symmetry_Int_Tables_number 1
loop_
_symmetry_equiv_pos_as_xyz
'x,y,z'
loop_
_atom_site_label
_atom_site_fract_x
_atom_site_fract_y
_atom_site_fract_z
Ca1 0.0433 0.7500 0.0866
Ca2 0.9567 0.2500 0.9134
Ca3 0.2218 0.7500 0.4443
Ca4 0.7782 0.2500 0.5557
La1 0.8624 0.7500 0.7261
La2 0.1376 0.2500 0.2739
Zn1 0.6320 0.7500 0.2634
Zn2 0.3680 0.2500 0.7366
Zn3 0.4512 0.7500 0.9022
Zn4 0.5488 0.2500 0.0978
```

Results
Space group: P2_1/m
Formation energy, kJ per mole of atoms: -17.69
Energy above the most stable polymorph in this dataset, meV/atom: 0

=====

(2)
Here is a geometry-optimized LaBeSiNi6 structure from Alexandria. Energies are from PBE-GGA.

CIF file:
```
data_LaBeSiNi6
_cell_length_a 7.6790
_cell_length_b 5.0316
_cell_length_c 7.8348
_cell_angle_alpha 108.73
_cell_angle_beta 119.34
_cell_angle_gamma 90.00
_symmetry_space_group_name_H-M 'P 1'
_symmetry_Int_Tables_number 1
loop_
_symmetry_equiv_pos_as_xyz
'x,y,z'
loop_
_atom_site_label
_atom_site_fract_x
_atom_site_fract_y
_atom_site_fract_z
La1 0.7541 0.5041 0.5082
La2 0.2459 0.4959 0.4918
Be1 0.5000 0.5000 0.0000
Be2 0.5000 0.0000 0.0000
Si1 0.5000 0.0000 0.5000
Si2 0.0000 0.0000 0.5000
Ni1 0.6441 0.8941 0.2882
Ni2 0.0039 0.2539 0.0079
Ni3 0.8530 0.0935 0.1866
Ni4 0.3336 0.5930 0.1866
Ni5 0.3336 0.0935 0.1866
Ni6 0.8530 0.5930 0.1866
Ni7 0.3559 0.1059 0.7118
Ni8 0.9961 0.7461 0.9921
Ni9 0.1470 0.9065 0.8134
Ni10 0.6664 0.4070 0.8134
Ni11 0.6664 0.9065 0.8134
Ni12 0.1470 0.4070 0.8134
```

Results
Space group: Imma
Formation energy (no corrections), eV/atom: -0.254

=====

(3)
Here is a geometry-optimized Li2LaPr2Hg2 structure from Alexandria. Energies are from PBE-GGA.

CIF file:
```
data_Li2LaPr2Hg2
_cell_length_a 3.5941
_cell_length_b 3.5941
_cell_length_c 17.7803
_cell_angle_alpha 90.00
_cell_angle_beta 90.00
_cell_angle_gamma 120.00
_symmetry_space_group_name_H-M 'P 1'
_symmetry_Int_Tables_number 1
loop_
_symmetry_equiv_pos_as_xyz
'x,y,z'
loop_
_atom_site_label
_atom_site_fract_x
_atom_site_fract_y
_atom_site_fract_z
Li1 0.6667 0.3333 0.5592
Li2 0.3333 0.6667 0.4408
La1 0.0000 0.0000 0.0000
Pr1 0.0000 0.0000 0.8038
Pr2 0.0000 0.0000 0.1962
Hg1 0.6667 0.3333 0.3387
Hg2 0.3333 0.6667 0.6613
```

Results
Space group: P-3m1
Formation energy, kJ per mole of atoms: -4.74

=====

(4)
Here is a geometry-optimized ZrMoSe2 structure from Alexandria. Energies are from PBE-GGA.

CIF file:
```
data_ZrMoSe2
_cell_length_a 4.8580
_cell_length_b 4.8580
_cell_length_c 8.3755
_cell_angle_alpha 73.14
_cell_angle_beta 73.14
_cell_angle_gamma 90.00
_symmetry_space_group_name_H-M 'P 1'
_symmetry_Int_Tables_number 1
loop_
_symmetry_equiv_pos_as_xyz
'x,y,z'
loop_
_atom_site_label
_atom_site_fract_x
_atom_site_fract_y
_atom_site_fract_z
Mo1 0.0000 0.0000 0.0000
Mo2 0.7500 0.2500 0.5000
Se1 0.6552 0.1250 0.2500
Se2 0.0948 0.6250 0.2500
Se3 0.3750 0.3448 0.7500
Se4 0.8750 0.9052 0.7500
Zr1 0.5000 0.5000 0.0000
Zr2 0.2500 0.7500 0.5000
```

Results
Space group: I-42d
Formation energy (no corrections), eV/atom: -0.189
Energy above the most stable polymorph in this dataset, meV/atom: 401

=====

(5)
Here is a geometry-optimized Ti5Zn3In structure from Alexandria. Energies are from PBE-GGA.

CIF file:
```
data_Ti5Zn3In
_cell_length_a 5.6121
_cell_length_b 5.6121
_cell_length_c 11.0737
_cell_angle_alpha 90.46
_cell_angle_beta 90.46
_cell_angle_gamma 71.55
_symmetry_space_group_name_H-M 'P 1'
_symmetry_Int_Tables_number 1
loop_
_symmetry_equiv_pos_as_xyz
'x,y,z'
loop_
_atom_site_label
_atom_site_fract_x
_atom_site_fract_y
_atom_site_fract_z
Ti1 0.9941 0.5374 0.3366
Ti2 0.3409 0.6591 0.0000
Ti3 0.7503 0.7503 0.1245
Ti4 0.5107 0.5107 0.2614
Ti5 0.4893 0.4893 0.7386
Ti6 0.2497 0.2497 0.8755
Ti7 0.5374 0.9941 0.3366
Ti8 0.6591 0.3409 0.0000
Ti9 0.0059 0.4626 0.6634
Ti10 0.4626 0.0059 0.6634
Zn1 0.7385 0.7385 0.8780
Zn2 0.6331 0.6331 0.5029
Zn3 0.0000 0.0000 0.0000
Zn4 0.0000 0.0000 0.5000
Zn5 0.2615 0.2615 0.1220
Zn6 0.3669 0.3669 0.4971
In1 0.9796 0.9796 0.7439
In2 0.0204 0.0204 0.2561
```

Results
Space group: C2/m
Formation energy, kJ per mole of atoms: 20.54

=====

(6)
Here is a geometry-optimized Sc4Zn2Ni structure from Alexandria. Energies are from PBE-GGA.

CIF file:
```
data_Sc4Zn2Ni
_cell_length_a 4.6285
_cell_length_b 4.6285
_cell_length_c 7.9663
_cell_angle_alpha 73.11
_cell_angle_beta 73.11
_cell_angle_gamma 60.00
_symmetry_space_group_name_H-M 'P 1'
_symmetry_Int_Tables_number 1
loop_
_symmetry_equiv_pos_as_xyz
'x,y,z'
loop_
_atom_site_label
_atom_site_fract_x
_atom_site_fract_y
_atom_site_fract_z
Sc1 0.8755 0.8755 0.3736
Sc2 0.1245 0.1245 0.6264
Sc3 0.6246 0.6246 0.1262
Sc4 0.3754 0.3754 0.8738
Zn1 0.7491 0.7491 0.7528
Zn2 0.2509 0.2509 0.2472
Ni1 0.0000 0.0000 0.0000
```

Results
Space group: R-3m
Formation energy, kJ per mole of atoms: -20.84

=====

(7)
Here is a geometry-optimized FeTeAsSe2 structure from Alexandria. Energies are from PBE-GGA.

CIF file:
```
data_FeTeAsSe2
_cell_length_a 4.7534
_cell_length_b 4.7534
_cell_length_c 4.7092
_cell_angle_alpha 90.00
_cell_angle_beta 90.00
_cell_angle_gamma 90.00
_symmetry_space_group_name_H-M 'P 1'
_symmetry_Int_Tables_number 1
loop_
_symmetry_equiv_pos_as_xyz
'x,y,z'
loop_
_atom_site_label
_atom_site_fract_x
_atom_site_fract_y
_atom_site_fract_z
As1 0.0000 0.0000 0.5000
Te1 0.5000 0.5000 0.5000
Fe1 0.0000 0.0000 0.0000
Se1 0.0000 0.5000 0.0000
Se2 0.5000 0.0000 0.0000
```

Results
Space group: P4/mmm
Formation energy (no corrections), eV/atom: 0.324
Energy above the most stable polymorph in this dataset, meV/atom: 0

=====

(8)
Here is a geometry-optimized RbSr2Hg2 structure from Alexandria. Energies are from PBE-GGA.

CIF file:
```
data_RbSr2Hg2
_cell_length_a 5.6519
_cell_length_b 5.6519
_cell_length_c 7.8758
_cell_angle_alpha 68.97
_cell_angle_beta 68.97
_cell_angle_gamma 90.00
_symmetry_space_group_name_H-M 'P 1'
_symmetry_Int_Tables_number 1
loop_
_symmetry_equiv_pos_as_xyz
'x,y,z'
loop_
_atom_site_label
_atom_site_fract_x
_atom_site_fract_y
_atom_site_fract_z
Sr1 0.7500 0.2500 0.5000
Sr2 0.2500 0.7500 0.5000
Hg1 0.3900 0.3900 0.2200
Hg2 0.6100 0.6100 0.7800
Rb1 0.0000 0.0000 0.0000
```

Results
Space group: I4/mmm
Formation energy, kJ per mole of atoms: -22.99
Energy above the most stable polymorph in this dataset, meV/atom: 79

=====

(9)
Here is a geometry-optimized Li2CaCdCo structure from Alexandria. Energies are from PBE-GGA.

CIF file:
```
data_Li2CaCdCo
_cell_length_a 4.8552
_cell_length_b 5.8865
_cell_length_c 4.8552
_cell_angle_alpha 90.00
_cell_angle_beta 90.00
_cell_angle_gamma 90.00
_symmetry_space_group_name_H-M 'P 1'
_symmetry_Int_Tables_number 1
loop_
_symmetry_equiv_pos_as_xyz
'x,y,z'
loop_
_atom_site_label
_atom_site_fract_x
_atom_site_fract_y
_atom_site_fract_z
Ca1 0.0000 0.5000 0.0000
Li1 0.0000 0.0000 0.5000
Li2 0.5000 0.0000 0.0000
Co1 0.5000 0.5000 0.5000
Cd1 0.0000 0.0000 0.0000
```

Results
Space group: P4/mmm
Formation energy, kJ per mole of atoms: 69.75

=====

(10)
Here is a geometry-optimized CaFeCoSi2 structure from Alexandria. Energies are from PBE-GGA.

CIF file:
```
data_CaFeCoSi2
_cell_length_a 3.9446
_cell_length_b 3.9446
_cell_length_c 5.6281
_cell_angle_alpha 110.51
_cell_angle_beta 110.51
_cell_angle_gamma 90.00
_symmetry_space_group_name_H-M 'P 1'
_symmetry_Int_Tables_number 1
loop_
_symmetry_equiv_pos_as_xyz
'x,y,z'
loop_
_atom_site_label
_atom_site_fract_x
_atom_site_fract_y
_atom_site_fract_z
Ca1 0.0000 0.0000 0.0000
Fe1 0.2500 0.7500 0.5000
Co1 0.7500 0.2500 0.5000
Si1 0.6354 0.6354 0.2708
Si2 0.3646 0.3646 0.7292
```

Results
Space group: I-4m2
Formation energy (no corrections), eV/atom: -0.544

=====

(11)
Here is a geometry-optimized PaZnSn2 structure from Alexandria. Energies are from PBE-GGA.

CIF file:
```
data_PaZnSn2
_cell_length_a 4.4345
_cell_length_b 4.5836
_cell_length_c 4.5836
_cell_angle_alpha 90.00
_cell_angle_beta 90.00
_cell_angle_gamma 90.00
_symmetry_space_group_name_H-M 'P 1'
_symmetry_Int_Tables_number 1
loop_
_symmetry_equiv_pos_as_xyz
'x,y,z'
loop_
_atom_site_label
_atom_site_fract_x
_atom_site_fract_y
_atom_site_fract_z
Zn1 0.5000 0.0000 0.0000
Pa1 0.5000 0.5000 0.5000
Sn1 0.0000 0.0000 0.5000
Sn2 0.0000 0.5000 0.0000
```

Results
Space group: P4/mmm
Formation energy, kJ per mole of atoms: -24.03
Energy above the most stable polymorph in this dataset, meV/atom: 0

=====

(12)
Here is a geometry-optimized Pu12Tc2Ge5 structure from Alexandria. Energies are from PBE-GGA.

CIF file:
```
data_Pu12Tc2Ge5
_cell_length_a 8.9072
_cell_length_b 7.3622
_cell_length_c 6.6939
_cell_angle_alpha 87.25
_cell_angle_beta 90.00
_cell_angle_gamma 127.22
_symmetry_space_group_name_H-M 'P 1'
_symmetry_Int_Tables_number 1
loop_
_symmetry_equiv_pos_as_xyz
'x,y,z'
loop_
_atom_site_label
_atom_site_fract_x
_atom_site_fract_y
_atom_site_fract_z
Pu1 0.9201 0.8402 0.1077
Pu2 0.0188 0.6439 0.7324
Pu3 0.6251 0.6439 0.7324
Pu4 0.1182 0.7284 0.3785
Pu5 0.6102 0.7284 0.3785
Pu6 0.5231 0.0462 0.6664
Pu7 0.4769 0.9538 0.3336
Pu8 0.8818 0.2716 0.6215
Pu9 0.3898 0.2716 0.6215
Pu10 0.9812 0.3561 0.2676
Pu11 0.3749 0.3561 0.2676
Pu12 0.0799 0.1598 0.8923
Tc1 0.7045 0.0000 0.0000
Tc2 0.2955 0.0000 0.0000
Ge1 0.2759 0.5518 0.6029
Ge2 0.3275 0.6550 0.9929
Ge3 0.0000 0.0000 0.5000
Ge4 0.6725 0.3450 0.0071
Ge5 0.7241 0.4482 0.3971
```

Results
Space group: C2/m
Formation energy, kJ per mole of atoms: 9.67